No. 1
This record from Alexandria describes crystalline La8CoNi2Ru at its relaxed geometry. The functional is PBE.

abc: 6.6774 8.4262 6.7043
angles: 90.00 91.37 90.00
Space group P2/m (No. 10)
Inequivalent atoms, fractional coordinates:
La: 0.1616 0.0000 0.2291 [2 per cell]
La: 0.1683 0.5000 0.2289 [2 per cell]
La: 0.3321 0.2548 0.7146 [4 per cell]
Co: 0.5000 0.5000 0.5000 [1 per cell]
Ni: 0.0000 0.2520 0.0000 [2 per cell]
Ru: 0.5000 0.0000 0.5000 [1 per cell]

- Total magnetization: 0.000 μB per atom
- Final energy: -0.426 Ry per atom
- DOS(E_F): 11.5 states/eV/f.u.
- ΔE_f: -0.182 eV/atom

No. 2
This record from Alexandria describes crystalline LiLaWN3 at its relaxed geometry. The functional is PBE.

abc: 12.5501 6.6874 7.3643
angles: 90.00 117.10 90.00
Space group C2/m (No. 12)
Inequivalent atoms, fractional coordinates:
Li: 0.0000 0.2205 0.0000 [4 per cell]
La: 0.2336 0.5000 0.8513 [4 per cell]
W: 0.0236 0.0000 0.7131 [4 per cell]
N: 0.1128 0.0000 0.2585 [4 per cell]
N: 0.1150 0.2153 0.8595 [8 per cell]

- Total magnetization: 0.000 μB per atom
- Final energy: -0.605 Ry per atom
- DOS(E_F): 0.0 states/eV/f.u.
- Energy relative to the elements, uncorrected: -0.7710 eV/atom

No. 3
This record from Alexandria describes crystalline FeCo at its relaxed geometry. The functional is PBE.

abc: 8.9453 8.9453 2.4754
angles: 90.00 90.00 90.00
Space group I4/m (No. 87)
Inequivalent atoms, fractional coordinates:
Fe: 0.1177 0.8307 0.0000 [8 per cell]
Co: 0.0874 0.3638 0.0000 [8 per cell]

- Total magnetization: 2.147 μB per atom
- Final energy: -0.545 Ry per atom
- DOS(E_F): 1.9 states/eV/f.u.
- ΔE_f: 0.364 eV/atom

No. 4
This record from Alexandria describes crystalline K2ZnAs at its relaxed geometry. The functional is PBE.

abc: 3.5004 5.2434 6.8139
angles: 90.00 90.00 90.00
Space group Pmm2 (No. 25)
Inequivalent atoms, fractional coordinates:
K: 0.0000 0.0000 0.0000 [1 per cell]
K: 0.5000 0.5000 0.3575 [1 per cell]
Zn: 0.0000 0.0000 0.5434 [1 per cell]
As: 0.5000 0.5000 0.8283 [1 per cell]

- Total magnetization: 0.002 μB per atom
- Excess energy over the best structure of this formula in the dataset: 355 meV per atom
- Final energy: -0.142 Ry per atom
- DOS(E_F): 2.9 states/eV/f.u.
- ΔE_f: 0.095 eV/atom